(1)
Computed, not measured: a geometry-optimized BaAgAs2 structure at the PBE-GGA level of DFT. Values from VASP.

```
&SYSTEM
  ibrav = 0, nat = 4, ntyp = 3
/
ATOMIC_SPECIES
Ag 107.87 Ag.upf
As 74.92 As.upf
Ba 137.33 Ba.upf
ATOMIC_POSITIONS angstrom
Ag -2.287 -0.874 1.652
As -2.916 -0.723 -0.902
As -0.529 -0.131 -0.164
Ba -2.624 2.700 -0.126
CELL_PARAMETERS angstrom
-3.782 2.719 -2.843
-3.109 -4.428 0.712
1.979 3.535 3.656
```

## Properties
- formation enthalpy at 0 K (meV/atom) = -424.7
- density (g/cm3) = 5.9

---

(2)
Computed, not measured: a geometry-optimized BaAgAs structure at the PBE-GGA level of DFT. Values from VASP.

```
&SYSTEM
  ibrav = 0, nat = 6, ntyp = 3
/
ATOMIC_SPECIES
As 74.92 As.upf
Ba 137.33 Ba.upf
Ag 107.87 Ag.upf
ATOMIC_POSITIONS angstrom
As -0.191 2.643 3.472
As 5.381 1.782 0.139
Ba 2.919 3.503 1.995
Ba -0.189 0.242 0.884
Ag 1.662 0.755 3.844
Ag 6.001 1.955 2.732
CELL_PARAMETERS angstrom
8.681 0.002 -0.003
-1.235 4.460 0.000
-1.231 -0.341 4.449
```

## Properties
- formation enthalpy at 0 K (meV/atom) = -751.7
- density (g/cm3) = 6.2

---

(3)
Computed, not measured: a geometry-optimized BaAg2As2 structure at the PBE-GGA level of DFT. Values from VASP.

```
&SYSTEM
  ibrav = 0, nat = 5, ntyp = 3
/
ATOMIC_SPECIES
Ag 107.87 Ag.upf
As 74.92 As.upf
Ba 137.33 Ba.upf
ATOMIC_POSITIONS angstrom
Ag -4.438 -3.545 1.506
Ag -1.750 -4.915 2.703
As -4.346 -5.604 3.343
As -1.841 -2.855 0.866
Ba 0.000 0.000 0.000
CELL_PARAMETERS angstrom
-4.025 -1.566 -1.555
1.351 -4.306 0.839
-3.513 -2.588 4.925
```

## Properties
- formation enthalpy at 0 K (meV/atom) = -485.2
- density (g/cm3) = 6.9

---

(4)
Computed, not measured: a geometry-optimized BaAgAs2 structure at the PBE-GGA level of DFT. Values from VASP.

```
&SYSTEM
  ibrav = 0, nat = 4, ntyp = 3
/
ATOMIC_SPECIES
As 74.92 As.upf
Ba 137.33 Ba.upf
Ag 107.87 Ag.upf
ATOMIC_POSITIONS angstrom
As -0.647 -5.458 7.934
As -0.216 -1.819 2.645
Ba -0.431 -3.639 5.289
Ag 0.000 0.000 0.000
CELL_PARAMETERS angstrom
1.628 -0.564 4.963
-3.274 -1.909 3.638
0.783 -4.804 1.977
```

## Properties
- formation enthalpy at 0 K (meV/atom) = -119.6
- density (g/cm3) = 6.4

---

(5)
Computed, not measured: a geometry-optimized Ba4AgAs structure at the PBE-GGA level of DFT. Values from VASP.

```
&SYSTEM
  ibrav = 0, nat = 6, ntyp = 3
/
ATOMIC_SPECIES
Ba 137.33 Ba.upf
Ag 107.87 Ag.upf
As 74.92 As.upf
ATOMIC_POSITIONS angstrom
Ba -5.200 -3.588 1.425
Ba -6.538 -6.023 3.674
Ba -8.659 -3.488 2.315
Ba -7.430 -6.104 0.214
Ag -10.435 -7.201 2.861
As 0.000 0.000 0.000
CELL_PARAMETERS angstrom
-2.649 -4.820 4.451
-6.849 0.199 1.762
-4.415 -4.981 -2.398
```

## Properties
- formation enthalpy at 0 K (meV/atom) = 348.4
- density (g/cm3) = 4.9

---

(6)
Computed, not measured: a geometry-optimized Ba6AgAs2Br3 structure at the PBE-GGA level of DFT. Values from VASP.

```
&SYSTEM
  ibrav = 0, nat = 12, ntyp = 4
/
ATOMIC_SPECIES
Ba 137.33 Ba.upf
As 74.92 As.upf
Ag 107.87 Ag.upf
Br 79.90 Br.upf
ATOMIC_POSITIONS angstrom
Ba -1.517 5.493 2.417
Ba 2.224 2.543 0.307
Ba 3.197 1.010 4.638
Ba -1.207 0.344 3.152
Ba 2.888 6.159 3.903
Ba -0.544 3.960 6.748
As 1.161 -1.534 4.395
As 4.465 0.583 1.656
Ag 0.000 0.000 0.000
Br -2.429 1.156 6.238
Br 0.840 3.252 3.528
Br 4.110 5.347 0.817
CELL_PARAMETERS angstrom
-2.145 -3.654 7.136
7.771 2.702 -1.085
-3.945 7.454 1.004
```

## Properties
- formation energy without anion corrections (eV/atom) = -1.333
- density (g/cm3) = 4.6

---

(7)
Computed, not measured: a geometry-optimized BaCaAg2As2 structure at the PBE-GGA level of DFT. Values from VASP.

```
&SYSTEM
  ibrav = 0, nat = 6, ntyp = 4
/
ATOMIC_SPECIES
Ag 107.87 Ag.upf
As 74.92 As.upf
Ba 137.33 Ba.upf
Ca 40.08 Ca.upf
ATOMIC_POSITIONS angstrom
Ag 2.294 1.325 2.432
Ag 0.000 2.649 5.946
As 0.000 2.649 2.253
As 2.294 1.325 6.125
Ba 0.000 0.000 0.000
Ca 0.000 0.000 4.189
CELL_PARAMETERS angstrom
4.589 0.000 0.000
-2.294 3.974 0.000
0.000 0.000 8.378
```

## Properties
- formation enthalpy at 0 K (meV/atom) = -768.5
- density (g/cm3) = 5.9

---

(8)
Computed, not measured: a geometry-optimized BaCaAgAs structure at the PBE-GGA level of DFT. Values from VASP.

```
&SYSTEM
  ibrav = 0, nat = 4, ntyp = 4
/
ATOMIC_SPECIES
Ag 107.87 Ag.upf
Ca 40.08 Ca.upf
As 74.92 As.upf
Ba 137.33 Ba.upf
ATOMIC_POSITIONS angstrom
Ag 2.739 1.581 1.118
Ca 5.477 3.162 2.236
As 8.216 4.744 3.354
Ba 0.000 0.000 0.000
CELL_PARAMETERS angstrom
5.477 0.000 0.000
2.739 4.744 0.000
2.739 1.581 4.472
```

## Properties
- formation enthalpy at 0 K (meV/atom) = -665.9
- density (g/cm3) = 5.1